1.
Computed, not measured: a relaxed Sr2CaSb crystal at the PBE level of DFT.

Unit cell a=5.9362 b=5.9362 c=5.9362 alpha=60.00 beta=60.00 gamma=60.00
Positions (direct):
Sr1 0.0000 0.0000 0.0000
Sr2 0.2500 0.2500 0.2500
Ca1 0.7500 0.7500 0.7500
Sb1 0.5000 0.5000 0.5000

Computed properties:
E	-2.625	eV/atom

2.
Computed, not measured: a relaxed Zr2BiAs crystal at the PBE level of DFT.

Unit cell a=7.7993 b=7.7993 c=7.7993 alpha=131.87 beta=131.87 gamma=70.43
Positions (direct):
Zr1 0.0853 0.6250 0.9603
Zr2 0.3750 0.3353 0.4603
Zr3 0.6647 0.1250 0.0397
Zr4 0.8750 0.9147 0.5397
Bi1 0.2500 0.7500 0.5000
Bi2 0.5000 0.5000 0.0000
As1 0.0000 0.0000 0.0000
As2 0.7500 0.2500 0.5000

Computed properties:
ΔE_f	0.00	eV/atom

3.
Computed, not measured: a relaxed Ba2GaSbC crystal at the PBE level of DFT.

Unit cell a=6.3290 b=6.3290 c=5.1209 alpha=90.00 beta=90.00 gamma=90.00
Positions (direct):
Ba1 0.0000 0.5000 0.0000
Ba2 0.5000 0.0000 0.0000
Ga1 0.0000 0.0000 0.0000
Sb1 0.0000 0.0000 0.5000
C1 0.5000 0.5000 0.5000

Computed properties:
E	-3.136	eV/atom

4.
Computed, not measured: a relaxed Nd4Te2AuS crystal at the PBE level of DFT.

Unit cell a=7.5933 b=4.2517 c=7.6634 alpha=90.00 beta=108.65 gamma=90.00
Positions (direct):
Nd1 0.2300 0.0000 0.2218
Nd2 0.2552 0.5000 0.7720
Nd3 0.7448 0.5000 0.2280
Nd4 0.7700 0.0000 0.7782
Te1 0.0000 0.0000 0.5000
Te2 0.5000 0.5000 0.5000
Au1 0.5000 0.0000 0.0000
S1 0.0000 0.5000 0.0000

Computed properties:
E	-5.496	eV/atom

5.
Computed, not measured: a relaxed Cr2AsRu crystal at the PBE level of DFT.

Unit cell a=4.7937 b=4.7937 c=4.7937 alpha=136.37 beta=136.37 gamma=63.41
Positions (direct):
Cr1 0.2500 0.7500 0.5000
Cr2 0.7500 0.2500 0.5000
As1 0.0000 0.0000 0.0000
Ru1 0.5000 0.5000 0.0000

Computed properties:
ΔE_f	0.09	eV/atom

Number 1: M_tot 0.00 μB/cell. Number 2: M_tot 0.00 μB/cell. Number 3: M_tot 2.47 μB/cell. Number 4: M_tot 0.00 μB/cell. Number 5: M_tot 0.00 μB/cell.